Entry 1:
Computed, not measured: a relaxed Li3ZnAg crystal at the PBEsol level of DFT.

abc: 4.7703 4.7703 4.7703
angles: 90.00 90.00 90.00
Closest atoms and distances in Å follow each position.
Sites, in units of the cell vectors:
Li: 0.0000 0.0000 0.5000  2 Ag 2.39
Li: 0.0000 0.5000 0.0000  2 Ag 2.39
Li: 0.5000 0.0000 0.0000  2 Ag 2.39
Zn: 0.5000 0.5000 0.5000  12 Li 3.37
Ag: 0.0000 0.0000 0.0000  6 Li 2.39

Values from the calculation:
- final energy (eV per formula unit) = -9.41
- calculated formation energy (eV per atom) = 0.28
- mass density (g/cm3) = 3.0
- size of the total moment (μB/f.u.) = 0.0



Entry 2:
Computed, not measured: a relaxed ScIn2Au crystal at the PBEsol level of DFT.

abc: 3.6190 3.6190 6.3876
angles: 90.00 90.00 90.00
Closest atoms and distances in Å follow each position.
Sites, in units of the cell vectors:
Sc: 0.0000 0.0000 0.0000  4 Au 2.90, 5 In 2.98-3.06
In: 0.0000 0.0000 0.4664  1 Sc 2.98, 4 Au 3.02, 4 In 3.09
In: 0.5000 0.5000 0.7385  2 Au 3.04-3.35, 4 Sc 3.06, 4 In 3.09
Au: 0.5000 0.5000 0.2145  4 Sc 2.90, 5 In 3.02-3.04

Values from the calculation:
- final energy (eV per formula unit) = -18.03
- calculated formation energy (eV per atom) = -0.38
- mass density (g/cm3) = 9.4
- size of the total moment (μB/f.u.) = 0.0



Entry 3:
Computed, not measured: a relaxed Tl2FeAg crystal at the PBEsol level of DFT.

abc: 3.1141 3.1141 8.3574
angles: 90.00 90.00 90.00
Closest atoms and distances in Å follow each position.
Sites, in units of the cell vectors:
Tl: 0.0000 0.0000 0.0000  4 Fe 2.86, 4 Tl 3.11
Tl: 0.5000 0.5000 0.3351  4 Tl 3.11, 4 Ag 3.12
Fe: 0.5000 0.5000 0.7807  4 Ag 2.67, 4 Tl 2.86
Ag: 0.0000 0.0000 0.5992  4 Fe 2.67

Values from the calculation:
- final energy (eV per formula unit) = -15.83
- calculated formation energy (eV per atom) = 0.43
- mass density (g/cm3) = 11.7
- size of the total moment (μB/f.u.) = 2.9



Entry 4:
Computed, not measured: a relaxed NbCrHg3 crystal at the PBEsol level of DFT.

abc: 5.2668 5.2668 5.2668
angles: 90.00 90.00 90.00
Closest atoms and distances in Å follow each position.
Sites, in units of the cell vectors:
Nb: 0.0000 0.0000 0.0000  6 Hg 2.63
Cr: 0.5000 0.5000 0.5000  12 Hg 3.72
Hg: 0.0000 0.0000 0.5000  2 Nb 2.63
Hg: 0.0000 0.5000 0.0000  2 Nb 2.63
Hg: 0.5000 0.0000 0.0000  2 Nb 2.63

Values from the calculation:
- final energy (eV per formula unit) = -16.26
- calculated formation energy (eV per atom) = 1.30
- mass density (g/cm3) = 8.5
- size of the total moment (μB/f.u.) = 3.6



Entry 5:
Computed, not measured: a relaxed TcHgAs3 crystal at the PBEsol level of DFT.

abc: 5.0209 5.0209 5.0209
angles: 90.00 90.00 90.00
Closest atoms and distances in Å follow each position.
Sites, in units of the cell vectors:
Tc: 0.0000 0.0000 0.0000  12 As 3.55
Hg: 0.5000 0.5000 0.5000  6 As 2.51
As: 0.0000 0.5000 0.5000  2 Hg 2.51
As: 0.5000 0.0000 0.5000  2 Hg 2.51
As: 0.5000 0.5000 0.0000  2 Hg 2.51

Values from the calculation:
- final energy (eV per formula unit) = -18.36
- calculated formation energy (eV per atom) = 1.76
- mass density (g/cm3) = 6.9
- size of the total moment (μB/f.u.) = 2.9



Entry 6:
Computed, not measured: a relaxed La2CdH2 crystal at the PBEsol level of DFT.

abc: 3.9943 3.9943 12.6522
angles: 90.00 90.00 90.00
Closest atoms and distances in Å follow each position.
Sites, in units of the cell vectors:
La: 0.0000 0.0000 0.1480  4 H 2.38
La: 0.0000 0.0000 0.8520  4 H 2.38
La: 0.5000 0.5000 0.3520  4 H 2.38
La: 0.5000 0.5000 0.6480  4 H 2.38
Cd: 0.0000 0.0000 0.5000  8 La 3.39, 8 H 3.74
Cd: 0.5000 0.5000 0.0000  8 La 3.39, 8 H 3.74
H: 0.0000 0.5000 0.2500  4 La 2.38
H: 0.0000 0.5000 0.7500  4 La 2.38
H: 0.5000 0.0000 0.2500  4 La 2.38
H: 0.5000 0.0000 0.7500  4 La 2.38

Values from the calculation:
- final energy (eV per formula unit) = -21.03
- mass density (g/cm3) = 6.5
- size of the total moment (μB/f.u.) = 0.0



Entry 7:
Computed, not measured: a relaxed MnZnMo crystal at the PBEsol level of DFT.

abc: 2.5903 3.9160 7.7698
angles: 90.00 90.00 90.00
Closest atoms and distances in Å follow each position.
Sites, in units of the cell vectors:
Mn: 0.0000 0.0000 0.0000  5 Mo 2.55-2.70, 2 Mn 2.59, 5 Zn 2.64-2.66
Mn: 0.5000 0.5000 0.5000  5 Mo 2.55-2.70, 2 Mn 2.59, 5 Zn 2.64-2.66
Zn: 0.0000 0.0000 0.6599  5 Mo 2.58-2.69, 2 Zn 2.59, 5 Mn 2.64-2.66
Zn: 0.5000 0.5000 0.1599  5 Mo 2.58-2.69, 2 Zn 2.59, 5 Mn 2.64-2.66
Mo: 0.0000 0.0000 0.3278  5 Mn 2.55-2.70, 5 Zn 2.58-2.69, 2 Mo 2.59
Mo: 0.5000 0.5000 0.8278  5 Mn 2.55-2.70, 5 Zn 2.58-2.69, 2 Mo 2.59

Values from the calculation:
- final energy (eV per formula unit) = -22.55
- calculated formation energy (eV per atom) = 0.19
- mass density (g/cm3) = 9.1
- size of the total moment (μB/f.u.) = 1.2



Entry 8:
Computed, not measured: a relaxed InP3Pb2O11 crystal at the PBEsol level of DFT.

abc: 6.6303 7.0241 20.0307
angles: 90.00 99.66 90.00
Closest atoms and distances in Å follow each position.
Sites, in units of the cell vectors:
In: 0.0541 0.1315 0.3793  6 O 2.12-2.22
In: 0.0541 0.3685 0.8793  6 O 2.12-2.22
In: 0.9459 0.6315 0.1207  6 O 2.12-2.22
In: 0.9459 0.8685 0.6207  6 O 2.12-2.22
P: 0.1817 0.0291 0.7735  4 O 1.53-1.58
P: 0.1817 0.4709 0.2735  4 O 1.53-1.58
P: 0.1831 0.1990 0.5460  4 O 1.51-1.63
P: 0.1831 0.3010 0.0460  4 O 1.51-1.63
P: 0.4307 0.6410 0.0899  4 O 1.52-1.62
P: 0.4307 0.8590 0.5899  4 O 1.52-1.62
P: 0.5693 0.1410 0.4101  4 O 1.52-1.62
P: 0.5693 0.3590 0.9101  4 O 1.52-1.62
P: 0.8169 0.6990 0.9540  4 O 1.51-1.63
P: 0.8169 0.8010 0.4540  4 O 1.51-1.63
P: 0.8183 0.5291 0.7265  4 O 1.53-1.58
P: 0.8183 0.9709 0.2265  4 O 1.53-1.58
Pb: 0.3291 0.6235 0.4237  5 O 2.39-2.63
Pb: 0.3291 0.8765 0.9237  5 O 2.39-2.63
Pb: 0.3325 0.5272 0.7310  5 O 2.47-2.73
Pb: 0.3325 0.9728 0.2310  5 O 2.47-2.73
Pb: 0.6675 0.0272 0.7690  5 O 2.47-2.73
Pb: 0.6675 0.4728 0.2690  5 O 2.47-2.73
Pb: 0.6709 0.1235 0.0763  5 O 2.39-2.63
Pb: 0.6709 0.3765 0.5763  5 O 2.39-2.63
O: 0.0007 0.6367 0.9213  1 P 1.54
O: 0.0007 0.8633 0.4213  1 P 1.54
O: 0.0088 0.0168 0.2800  1 P 1.55
O: 0.0088 0.4832 0.7800  1 P 1.55
O: 0.0912 0.0946 0.8376  1 P 1.58
O: 0.0912 0.4054 0.3376  1 P 1.58
O: 0.1095 0.2256 0.9742  1 P 1.53
O: 0.1095 0.2744 0.4742  1 P 1.53
O: 0.2809 0.6818 0.1390  1 P 1.54
O: 0.2809 0.8182 0.6390  1 P 1.54
O: 0.3129 0.6493 0.2966  1 P 1.55
O: 0.3129 0.8507 0.7966  1 P 1.55
O: 0.3137 0.0078 0.5347  2 P 1.62-1.63
O: 0.3137 0.4922 0.0347  2 P 1.62-1.63
O: 0.3195 0.1795 0.7490  1 P 1.53
O: 0.3195 0.3205 0.2490  1 P 1.53
O: 0.3234 0.1668 0.0910  1 P 1.51
O: 0.3234 0.3332 0.5910  1 P 1.51
O: 0.3725 0.0421 0.3738  1 P 1.55
O: 0.3725 0.4579 0.8738  1 P 1.55
O: 0.4776 0.6876 0.5489  1 P 1.52
O: 0.4776 0.8124 0.0489  1 P 1.52
O: 0.5224 0.1876 0.9511  1 P 1.52
O: 0.5224 0.3124 0.4511  1 P 1.52
O: 0.6275 0.5421 0.1262  1 P 1.55
O: 0.6275 0.9579 0.6262  1 P 1.55
O: 0.6766 0.6668 0.4090  1 P 1.51
O: 0.6766 0.8332 0.9090  1 P 1.51
O: 0.6805 0.6795 0.7510  1 P 1.53
O: 0.6805 0.8205 0.2510  1 P 1.53
O: 0.6863 0.5078 0.9653  2 P 1.62-1.63
O: 0.6863 0.9922 0.4653  2 P 1.62-1.63
O: 0.6871 0.1493 0.2034  1 P 1.55
O: 0.6871 0.3507 0.7034  1 P 1.55
O: 0.7191 0.1818 0.3610  1 P 1.54
O: 0.7191 0.3182 0.8610  1 P 1.54
O: 0.8905 0.7256 0.5258  1 P 1.53
O: 0.8905 0.7744 0.0258  1 P 1.53
O: 0.9088 0.5946 0.6624  1 P 1.58
O: 0.9088 0.9054 0.1624  1 P 1.58
O: 0.9912 0.5168 0.2200  1 P 1.55
O: 0.9912 0.9832 0.7200  1 P 1.55
O: 0.9993 0.1367 0.5787  1 P 1.54
O: 0.9993 0.3633 0.0787  1 P 1.54

Values from the calculation:
- final energy (eV per formula unit) = -120.23
- uncorrected formation energy (meV per atom) = -2008.0
- mass density (g/cm3) = 5.8
- size of the total moment (μB/f.u.) = 0.0



Entry 9:
Computed, not measured: a relaxed TaTl3Cr crystal at the PBEsol level of DFT.

abc: 5.3566 5.3566 5.3566
angles: 90.00 90.00 90.00
Closest atoms and distances in Å follow each position.
Sites, in units of the cell vectors:
Ta: 0.0000 0.0000 0.0000  6 Tl 2.68
Tl: 0.0000 0.0000 0.5000  2 Ta 2.68
Tl: 0.0000 0.5000 0.0000  2 Ta 2.68
Tl: 0.5000 0.0000 0.0000  2 Ta 2.68
Cr: 0.5000 0.5000 0.5000  12 Tl 3.79

Values from the calculation:
- final energy (eV per formula unit) = -24.44
- calculated formation energy (eV per atom) = 1.25
- mass density (g/cm3) = 9.1
- size of the total moment (μB/f.u.) = 4.3



Entry 10:
Computed, not measured: a relaxed Co2HgTe crystal at the PBEsol level of DFT.

abc: 4.4044 4.4044 3.1892
angles: 90.00 90.00 90.00
Closest atoms and distances in Å follow each position.
Sites, in units of the cell vectors:
Co: 0.0000 0.5000 0.0000  4 Te 2.72, 4 Hg 2.72
Co: 0.5000 0.0000 0.0000  4 Te 2.72, 4 Hg 2.72
Hg: 0.0000 0.0000 0.5000  8 Co 2.72
Te: 0.5000 0.5000 0.5000  8 Co 2.72

Values from the calculation:
- final energy (eV per formula unit) = -17.89
- uncorrected formation energy (meV per atom) = 420.0
- mass density (g/cm3) = 12.0
- size of the total moment (μB/f.u.) = 1.8



Entry 11:
Computed, not measured: a relaxed TaW2Cl crystal at the PBEsol level of DFT.

abc: 2.9073 4.5138 9.4303
angles: 90.00 90.00 90.00
Closest atoms and distances in Å follow each position.
Sites, in units of the cell vectors:
Ta: 0.0000 0.0000 0.0000  4 Cl 2.68, 2 Ta 2.91, 4 W 2.98
Ta: 0.5000 0.5000 0.5000  4 Cl 2.68, 2 Ta 2.91, 4 W 2.98
W: 0.0000 0.5000 0.2246  2 Cl 2.57, 4 W 2.73
W: 0.0000 0.5000 0.7754  2 Cl 2.57, 4 W 2.73
W: 0.5000 0.0000 0.2754  2 Cl 2.57, 4 W 2.73
W: 0.5000 0.0000 0.7246  2 Cl 2.57, 4 W 2.73
Cl: 0.0000 0.0000 0.5000  4 W 2.57, 4 Ta 2.68
Cl: 0.5000 0.5000 0.0000  4 W 2.57, 4 Ta 2.68

Values from the calculation:
- final energy (eV per formula unit) = -39.71
- uncorrected formation energy (meV per atom) = 616.3
- mass density (g/cm3) = 15.7
- size of the total moment (μB/f.u.) = 0.0



Entry 12:
Computed, not measured: a relaxed HgAsSe2N crystal at the PBEsol level of DFT.

abc: 5.2600 5.2600 3.9804
angles: 90.00 90.00 90.00
Closest atoms and distances in Å follow each position.
Sites, in units of the cell vectors:
Hg: 0.0000 0.0000 0.0000  2 N 1.99
As: 0.5000 0.5000 0.5000  8 Se 3.30
Se: 0.0000 0.5000 0.0000  2 Hg 2.63
Se: 0.5000 0.0000 0.0000  2 Hg 2.63
N: 0.0000 0.0000 0.5000  2 Hg 1.99

Values from the calculation:
- final energy (eV per formula unit) = -15.25
- uncorrected formation energy (meV per atom) = 1329.9
- mass density (g/cm3) = 6.7
- size of the total moment (μB/f.u.) = 1.6